Arrangement 1

Density functional theory data (PBE) for a geometry-optimized Pr3Ho2Er structure.

Values from the calculation:
Magnetic moment in μB per cell: 0.00

```
data_Pr3Ho2Er
_chemical_formula_sum 'Pr6 Ho4 Er2'
_cell_length_a 3.496
_cell_length_b 5.976
_cell_length_c 19.647
_cell_angle_alpha 90.00
_cell_angle_beta 90.00
_cell_angle_gamma 90.00
_space_group_name_H-M_alt 'I m m m'
_space_group_IT_number 71
_space_group_name_Hall '-I 2 2'
loop_
_atom_site_label
_atom_site_type_symbol
_atom_site_fract_x
_atom_site_fract_y
_atom_site_fract_z
Pr1 Pr 0.000 0.000 0.000
Pr2 Pr 0.000 0.500 0.188
Ho1 Ho 0.000 0.500 0.363
Er1 Er 0.000 0.500 0.000
```



Arrangement 2

Density functional theory data (PBE) for a geometry-optimized Pr3Ho2Er structure.

Values from the calculation:
Magnetic moment in μB per cell: 0.00

```
data_Pr3Ho2Er
_chemical_formula_sum 'Pr12 Ho8 Er4'
_cell_length_a 13.283
_cell_length_b 3.561
_cell_length_c 17.797
_cell_angle_alpha 90.00
_cell_angle_beta 102.46
_cell_angle_gamma 90.00
_space_group_name_H-M_alt 'C 1 2/m 1'
_space_group_IT_number 12
loop_
_space_group_symop_operation_xyz
'x,y,z'
'-x,-y,-z'
'-x,y,-z'
'x,-y,z'
'x+1/2,y+1/2,z'
'-x+1/2,-y+1/2,-z'
'-x+1/2,y+1/2,-z'
'x+1/2,-y+1/2,z'
loop_
_atom_site_label
_atom_site_type_symbol
_atom_site_fract_x
_atom_site_fract_y
_atom_site_fract_z
Pr1 Pr 0.068 0.000 0.169
Pr2 Pr 0.127 0.500 0.990
Pr3 Pr 0.236 0.500 0.338
Ho1 Ho 0.132 0.500 0.500
Ho2 Ho 0.196 0.000 0.834
Er1 Er 0.040 0.500 0.681
```



Which structure is the most stable? The one labeled arrangement 2.



Arrangement 1

Density functional theory data (PBE) for a geometry-optimized PrHo7Er2 structure.

Values from the calculation:
Magnetic moment in μB per cell: 0.03

```
data_PrHo7Er2
_chemical_formula_sum 'Pr1 Ho7 Er2'
_cell_length_a 6.122
_cell_length_b 7.085
_cell_length_c 7.904
_cell_angle_alpha 77.10
_cell_angle_beta 75.02
_cell_angle_gamma 73.33
_space_group_name_H-M_alt 'P -1'
_space_group_IT_number 2
loop_
_space_group_symop_operation_xyz
'x,y,z'
'-x,-y,-z'
loop_
_atom_site_label
_atom_site_type_symbol
_atom_site_fract_x
_atom_site_fract_y
_atom_site_fract_z
Pr1 Pr 0.000 0.000 0.000
Ho1 Ho 0.000 0.500 0.000
Ho2 Ho 0.201 0.799 0.599
Ho3 Ho 0.400 0.100 0.201
Ho4 Ho 0.401 0.598 0.202
Er1 Er 0.200 0.301 0.599
```



Arrangement 2

Density functional theory data (PBE) for a geometry-optimized PrHo7Er2 structure.

Values from the calculation:
Magnetic moment in μB per cell: 0.00

```
data_PrHo7Er2
_chemical_formula_sum 'Pr2 Ho14 Er4'
_cell_length_a 8.722
_cell_length_b 15.943
_cell_length_c 5.620
_cell_angle_alpha 90.00
_cell_angle_beta 90.00
_cell_angle_gamma 90.00
_space_group_name_H-M_alt 'C m m m'
_space_group_IT_number 65
_space_group_name_Hall '-C 2 2'
loop_
_atom_site_label
_atom_site_type_symbol
_atom_site_fract_x
_atom_site_fract_y
_atom_site_fract_z
Pr1 Pr 0.000 0.000 0.000
Ho1 Ho 0.000 0.219 0.000
Ho2 Ho 0.000 0.500 0.500
Ho3 Ho 0.177 0.116 0.500
Er1 Er 0.000 0.297 0.500
```



Which structure is the most stable? The one labeled arrangement 1.



Arrangement 1

Density functional theory data (PBE) for a geometry-optimized Pr6Ho2Er3 structure.

Values from the calculation:
Magnetic moment in μB per cell: 0.00

```
data_Pr6Ho2Er3
_chemical_formula_sum 'Pr12 Ho4 Er6'
_cell_length_a 4.759
_cell_length_b 4.759
_cell_length_c 34.249
_cell_angle_alpha 90.00
_cell_angle_beta 90.00
_cell_angle_gamma 90.00
_space_group_name_H-M_alt 'I 4/m m m'
_space_group_IT_number 139
_space_group_name_Hall '-I 4 2'
loop_
_atom_site_label
_atom_site_type_symbol
_atom_site_fract_x
_atom_site_fract_y
_atom_site_fract_z
Pr1 Pr 0.000 0.000 0.207
Pr2 Pr 0.000 0.500 0.119
Ho1 Ho 0.000 0.000 0.045
Er1 Er 0.000 0.000 0.307
Er2 Er 0.000 0.000 0.500
```



Arrangement 2

Density functional theory data (PBE) for a geometry-optimized Pr6Ho2Er3 structure.

Values from the calculation:
Magnetic moment in μB per cell: 0.00

```
data_Pr6Ho2Er3
_chemical_formula_sum 'Pr6 Ho2 Er3'
_cell_length_a 6.147
_cell_length_b 6.793
_cell_length_c 9.910
_cell_angle_alpha 88.98
_cell_angle_beta 88.76
_cell_angle_gamma 64.62
_space_group_name_H-M_alt 'P -1'
_space_group_IT_number 2
loop_
_space_group_symop_operation_xyz
'x,y,z'
'-x,-y,-z'
loop_
_atom_site_label
_atom_site_type_symbol
_atom_site_fract_x
_atom_site_fract_y
_atom_site_fract_z
Pr1 Pr 0.095 0.391 0.320
Pr2 Pr 0.211 0.227 0.953
Pr3 Pr 0.250 0.847 0.226
Ho1 Ho 0.272 0.044 0.603
Er1 Er 0.346 0.679 0.868
Er2 Er 0.500 0.500 0.500
```



Which structure is the most stable? The one labeled arrangement 2.



Arrangement 1

Density functional theory data (PBE) for a geometry-optimized PrHo2Er3 structure.

Values from the calculation:
Magnetic moment in μB per cell: 0.00

```
data_PrHo2Er3
_chemical_formula_sum 'Pr2 Ho4 Er6'
_cell_length_a 7.132
_cell_length_b 7.142
_cell_length_c 8.809
_cell_angle_alpha 78.23
_cell_angle_beta 78.26
_cell_angle_gamma 60.20
_space_group_name_H-M_alt 'P -1'
_space_group_IT_number 2
loop_
_space_group_symop_operation_xyz
'x,y,z'
'-x,-y,-z'
loop_
_atom_site_label
_atom_site_type_symbol
_atom_site_fract_x
_atom_site_fract_y
_atom_site_fract_z
Pr1 Pr 0.250 0.250 0.001
Ho1 Ho 0.139 0.139 0.665
Ho2 Ho 0.360 0.861 0.337
Er1 Er 0.140 0.639 0.663
Er2 Er 0.250 0.750 0.000
Er3 Er 0.361 0.362 0.335
```



Arrangement 2

Density functional theory data (PBE) for a geometry-optimized PrHo2Er3 structure.

Values from the calculation:
Magnetic moment in μB per cell: 0.00

```
data_PrHo2Er3
_chemical_formula_sum 'Pr4 Ho8 Er12'
_cell_length_a 21.886
_cell_length_b 3.627
_cell_length_c 11.263
_cell_angle_alpha 90.00
_cell_angle_beta 120.93
_cell_angle_gamma 90.00
_space_group_name_H-M_alt 'C 1 2/m 1'
_space_group_IT_number 12
loop_
_space_group_symop_operation_xyz
'x,y,z'
'-x,-y,-z'
'-x,y,-z'
'x,-y,z'
'x+1/2,y+1/2,z'
'-x+1/2,-y+1/2,-z'
'-x+1/2,y+1/2,-z'
'x+1/2,-y+1/2,z'
loop_
_atom_site_label
_atom_site_type_symbol
_atom_site_fract_x
_atom_site_fract_y
_atom_site_fract_z
Pr1 Pr 0.111 0.000 0.486
Ho1 Ho 0.057 0.500 0.687
Ho2 Ho 0.224 0.000 0.850
Er1 Er 0.055 0.500 0.176
Er2 Er 0.112 0.000 0.988
Er3 Er 0.221 0.000 0.345
```



Which structure is the most stable? The one labeled arrangement 1.



Arrangement 1

Density functional theory data (PBE) for a geometry-optimized Pr4HoEr2 structure.

Values from the calculation:
Magnetic moment in μB per cell: 0.00

```
data_Pr4HoEr2
_chemical_formula_sum 'Pr16 Ho4 Er8'
_cell_length_a 6.920
_cell_length_b 11.495
_cell_length_c 12.169
_cell_angle_alpha 90.00
_cell_angle_beta 90.00
_cell_angle_gamma 90.00
_space_group_name_H-M_alt 'I m m a'
_space_group_IT_number 74
_space_group_name_Hall '-I 2b 2'
loop_
_atom_site_label
_atom_site_type_symbol
_atom_site_fract_x
_atom_site_fract_y
_atom_site_fract_z
Pr1 Pr 0.000 0.004 0.151
Pr2 Pr 0.221 0.250 0.991
Ho1 Ho 0.250 0.250 0.250
Er1 Er 0.000 0.000 0.500
Er2 Er 0.000 0.250 0.717
```



Arrangement 2

Density functional theory data (PBE) for a geometry-optimized Pr4HoEr2 structure.

Values from the calculation:
Magnetic moment in μB per cell: 0.00

```
data_Pr4HoEr2
_chemical_formula_sum 'Pr32 Ho8 Er16'
_cell_length_a 12.051
_cell_length_b 24.429
_cell_length_c 6.488
_cell_angle_alpha 90.00
_cell_angle_beta 90.00
_cell_angle_gamma 90.00
_space_group_name_H-M_alt 'F d d 2'
_space_group_IT_number 43
_space_group_name_Hall 'F 2 -2d'
loop_
_atom_site_label
_atom_site_type_symbol
_atom_site_fract_x
_atom_site_fract_y
_atom_site_fract_z
Pr1 Pr 0.052 0.070 0.000
Pr2 Pr 0.069 0.144 0.531
Ho1 Ho 0.000 0.000 0.496
Er1 Er 0.024 0.216 0.054
```



Which structure is the most stable? The one labeled arrangement 2.



Arrangement 1

Density functional theory data (PBE) for a geometry-optimized Pr4Ho8Er3 structure.

Values from the calculation:
Magnetic moment in μB per cell: 0.01

```
data_Pr4Ho8Er3
_chemical_formula_sum 'Pr8 Ho16 Er6'
_cell_length_a 13.415
_cell_length_b 12.852
_cell_length_c 6.752
_cell_angle_alpha 90.00
_cell_angle_beta 119.96
_cell_angle_gamma 90.00
_space_group_name_H-M_alt 'C 1 2/m 1'
_space_group_IT_number 12
loop_
_space_group_symop_operation_xyz
'x,y,z'
'-x,-y,-z'
'-x,y,-z'
'x,-y,z'
'x+1/2,y+1/2,z'
'-x+1/2,-y+1/2,-z'
'-x+1/2,y+1/2,-z'
'x+1/2,-y+1/2,z'
loop_
_atom_site_label
_atom_site_type_symbol
_atom_site_fract_x
_atom_site_fract_y
_atom_site_fract_z
Pr1 Pr 0.000 0.000 0.000
Pr2 Pr 0.000 0.000 0.500
Pr3 Pr 0.250 0.250 0.000
Ho1 Ho 0.000 0.256 0.000
Ho2 Ho 0.000 0.363 0.500
Ho3 Ho 0.228 0.500 0.961
Ho4 Ho 0.232 0.500 0.486
Er1 Er 0.000 0.500 0.000
Er2 Er 0.250 0.250 0.500
```



Arrangement 2

Density functional theory data (PBE) for a geometry-optimized Pr4Ho8Er3 structure.

Values from the calculation:
Magnetic moment in μB per cell: 0.01

```
data_Pr4Ho8Er3
_chemical_formula_sum 'Pr12 Ho24 Er9'
_cell_length_a 6.9457
_cell_length_b 6.9457
_cell_length_c 35.5529
_cell_angle_alpha 90.00
_cell_angle_beta 90.00
_cell_angle_gamma 120.00
_space_group_name_H-M_alt 'R -3 m'
_space_group_IT_number 166
_space_group_name_Hall '-R 3 2"'
loop_
_atom_site_label
_atom_site_type_symbol
_atom_site_fract_x
_atom_site_fract_y
_atom_site_fract_z
Pr1 Pr 0.0000 0.0000 0.0000
Pr2 Pr 0.0000 0.0000 0.1635
Pr3 Pr 0.0000 0.0000 0.5000
Ho1 Ho 0.0000 0.0000 0.2558
Ho2 Ho 0.0019 0.5010 0.2517
Er1 Er 0.0000 0.5000 0.0000
```



Which structure is the most stable? The one labeled arrangement 2.